(1)
{"formula": "CaTh4Se5", "functional": "GGA-PBE", "state": "relaxed", "lattice": [[-1.6584, 2.9235, 4.8777], [-6.3724, 3.4544, -0.6401], [-3.9896, -3.9647, 4.6168]], "species": ["Ca", "Se", "Se", "Se", "Th", "Se", "Th", "Th", "Th", "Se"], "frac_coords": [[0.0011, 0.0000, 0.0000], [0.7126, 0.1852, 0.3916], [0.5010, 0.0000, 0.0000], [0.2894, 0.8148, 0.6084], [0.4060, 0.4038, 0.7863], [0.8979, 0.3916, 0.8148], [0.8098, 0.7863, 0.5962], [0.5961, 0.5962, 0.2137], [0.1922, 0.2137, 0.4038], [0.1042, 0.6084, 0.1852]], "total_energy_ev_per_cell": -65.1, "e_form_raw_mev_per_atom": -1603}

(2)
{"formula": "Sr2Ga4Ir3Pd", "functional": "GGA-PBE", "state": "relaxed", "lattice": [[4.3497, 0.0000, 0.0000], [0.0000, 4.3497, 0.0000], [0.0000, 0.0000, 10.3954]], "species": ["Ir", "Ir", "Ga", "Ga", "Sr", "Ga", "Ga", "Ir", "Sr", "Pd"], "frac_coords": [[0.5000, 0.0000, 0.8714], [0.0000, 0.5000, 0.1286], [0.5000, 0.5000, 0.0000], [0.0000, 0.5000, 0.3726], [0.0000, 0.5000, 0.7474], [0.0000, 0.0000, 0.0000], [0.5000, 0.0000, 0.6274], [0.0000, 0.0000, 0.5000], [0.5000, 0.0000, 0.2526], [0.5000, 0.5000, 0.5000]], "total_energy_ev_per_cell": -53.3, "formation_enthalpy_0k_ev_per_atom": -0.6080}

(3)
{"formula": "PrErTlIn", "functional": "GGA-PBE", "state": "relaxed", "lattice": [[-1.7766, -4.1274, 3.0425], [3.1656, -2.0561, 3.8988], [-1.2459, 0.8156, 5.2184]], "species": ["In", "Tl", "Er", "Pr"], "frac_coords": [[0.5000, 0.5000, 0.5000], [0.0000, 0.0000, 0.0000], [0.2500, 0.2500, 0.2500], [0.7500, 0.7500, 0.7500]], "total_energy_ev_per_cell": -16.1, "formation_enthalpy_0k_ev_per_atom": -0.4050}

(4)
{"formula": "YTeS2Cl", "functional": "GGA-PBE", "state": "relaxed", "lattice": [[5.3357, 0.0000, 0.0000], [0.0000, 5.3357, 0.0000], [0.0000, 0.0000, 5.0410]], "species": ["Cl", "S", "Te", "S", "Y"], "frac_coords": [[0.0000, 0.0000, 0.5000], [0.5000, 0.0000, 0.0000], [0.5000, 0.5000, 0.5000], [0.0000, 0.5000, 0.0000], [0.0000, 0.0000, 0.0000]], "total_energy_ev_per_cell": -22.7, "e_form_raw_mev_per_atom": -604}